[1]
DFT (PBEsol) results for an optimized crystal structure of MnHgW2I.

a = 4.8622 Å, b = 5.0893 Å, c = 5.0893 Å
α = 90.00°, β = 90.00°, γ = 90.00°
Closest atoms and distances in Å follow each position.
Element x y z (fractional)
W: 0.0000 0.5000 0.0000  2 Hg 2.54
W: 0.0000 0.0000 0.5000  2 Hg 2.54
Hg: 0.0000 0.0000 0.0000  2 Mn 2.43, 4 W 2.54
I: 0.5000 0.5000 0.5000  8 W 3.52, 4 Mn 3.60
Mn: 0.5000 0.0000 0.0000  2 Hg 2.43

Values from the calculation:
Formation energy (no corrections) = 2.566 eV/atom
Density of states at the Fermi level = 6.4 states/eV/cell
Uncorrected energy = -5.376 eV per atom
Symmetry = P4/mmm, No. 123



[2]
DFT (PBEsol) results for an optimized crystal structure of HgMoIO2.

a = 3.9582 Å, b = 3.9582 Å, c = 5.7252 Å
α = 90.00°, β = 90.00°, γ = 90.00°
Closest atoms and distances in Å follow each position.
Element x y z (fractional)
I: 0.0000 0.0000 0.5000  4 Hg 2.80, 2 Mo 2.86
O: 0.5000 0.0000 0.0000  2 Mo 1.98
O: 0.0000 0.5000 0.0000  2 Mo 1.98
Mo: 0.0000 0.0000 0.0000  4 O 1.98
Hg: 0.5000 0.5000 0.5000  4 I 2.80

Values from the calculation:
Formation energy (no corrections) = -0.708 eV/atom
Density of states at the Fermi level = 2.6 states/eV/cell
Uncorrected energy = -5.628 eV per atom
Symmetry = P4/mmm, No. 123



[3]
DFT (PBEsol) results for an optimized crystal structure of HgPbI2N.

a = 4.3519 Å, b = 6.1337 Å, c = 6.1337 Å
α = 90.00°, β = 90.00°, γ = 90.00°
Closest atoms and distances in Å follow each position.
Element x y z (fractional)
Hg: 0.5000 0.5000 0.5000  8 I 3.76
N: 0.5000 0.0000 0.0000  2 Pb 2.18
I: 0.0000 0.0000 0.5000  2 Pb 3.07
I: 0.0000 0.5000 0.0000  2 Pb 3.07
Pb: 0.0000 0.0000 0.0000  2 N 2.18

Values from the calculation:
Formation energy (no corrections) = 0.711 eV/atom
Density of states at the Fermi level = 4.7 states/eV/cell
Uncorrected energy = -2.614 eV per atom
Symmetry = P4/mmm, No. 123



[4]
DFT (PBEsol) results for an optimized crystal structure of HgPdI2N.

a = 3.7160 Å, b = 5.6627 Å, c = 5.6627 Å
α = 90.00°, β = 90.00°, γ = 90.00°
Closest atoms and distances in Å follow each position.
Element x y z (fractional)
I: 0.0000 0.0000 0.5000  2 Pd 2.83
I: 0.0000 0.5000 0.0000  2 Pd 2.83
Pd: 0.0000 0.0000 0.0000  2 N 1.86
N: 0.5000 0.0000 0.0000  2 Pd 1.86
Hg: 0.5000 0.5000 0.5000  8 I 3.39, 2 Hg 3.72

Values from the calculation:
Formation energy (no corrections) = 0.499 eV/atom
Density of states at the Fermi level = 3.2 states/eV/cell
Uncorrected energy = -3.218 eV per atom
Symmetry = P4/mmm, No. 123



[5]
DFT (PBEsol) results for an optimized crystal structure of HgPtIN2.

a = 3.8706 Å, b = 3.8706 Å, c = 7.5924 Å
α = 90.00°, β = 90.00°, γ = 90.00°
Closest atoms and distances in Å follow each position.
Element x y z (fractional)
Pt: 0.0000 0.0000 0.0000  4 N 1.94
N: 0.5000 0.0000 0.0000  2 Pt 1.94
N: 0.0000 0.5000 0.0000  2 Pt 1.94
I: 0.0000 0.0000 0.5000  4 Hg 2.74
Hg: 0.5000 0.5000 0.5000  4 I 2.74

Values from the calculation:
Formation energy (no corrections) = 1.100 eV/atom
Density of states at the Fermi level = 2.2 states/eV/cell
Uncorrected energy = -4.170 eV per atom
Symmetry = P4/mmm, No. 123



[6]
DFT (PBEsol) results for an optimized crystal structure of HgRuI2N.

a = 3.9663 Å, b = 5.9123 Å, c = 5.9123 Å
α = 90.00°, β = 90.00°, γ = 90.00°
Closest atoms and distances in Å follow each position.
Element x y z (fractional)
Ru: 0.5000 0.5000 0.5000  8 I 3.56, 2 Ru 3.97
Hg: 0.0000 0.0000 0.0000  2 N 1.98
N: 0.5000 0.0000 0.0000  2 Hg 1.98
I: 0.0000 0.0000 0.5000  2 Hg 2.96
I: 0.0000 0.5000 0.0000  2 Hg 2.96

Values from the calculation:
Formation energy (no corrections) = 1.721 eV/atom
Density of states at the Fermi level = 4.5 states/eV/cell
Uncorrected energy = -2.839 eV per atom
Symmetry = P4/mmm, No. 123



[7]
DFT (PBEsol) results for an optimized crystal structure of HgSbI2N.

a = 3.9340 Å, b = 6.0459 Å, c = 6.0459 Å
α = 90.00°, β = 90.00°, γ = 90.00°
Closest atoms and distances in Å follow each position.
Element x y z (fractional)
I: 0.0000 0.5000 0.0000  2 Sb 3.02
I: 0.0000 0.0000 0.5000  2 Sb 3.02
Sb: 0.0000 0.0000 0.0000  2 N 1.97
N: 0.5000 0.0000 0.0000  2 Sb 1.97
Hg: 0.5000 0.5000 0.5000  8 I 3.61, 2 Hg 3.93

Values from the calculation:
Formation energy (no corrections) = 0.537 eV/atom
Distance to the lowest polymorph of the same formula = 0.00 eV per formula unit
Density of states at the Fermi level = 3.6 states/eV/cell
Uncorrected energy = -2.900 eV per atom
Symmetry = P4/mmm, No. 123



[8]
DFT (PBEsol) results for an optimized crystal structure of HgSbI2N.

a = 5.0773 Å, b = 5.0773 Å, c = 4.7121 Å
α = 90.00°, β = 90.00°, γ = 90.00°
Closest atoms and distances in Å follow each position.
Element x y z (fractional)
Sb: 0.0000 0.0000 0.5000  2 N 2.36
I: 0.0000 0.5000 0.0000  2 N 2.54
I: 0.5000 0.0000 0.0000  2 N 2.54
N: 0.0000 0.0000 0.0000  2 Sb 2.36, 4 I 2.54
Hg: 0.5000 0.5000 0.5000  8 I 3.46, 4 Sb 3.59

Values from the calculation:
Formation energy (no corrections) = 0.721 eV/atom
Distance to the lowest polymorph of the same formula = 0.92 eV per formula unit
Density of states at the Fermi level = 4.3 states/eV/cell
Uncorrected energy = -2.716 eV per atom
Symmetry = P4/mmm, No. 123



[9]
DFT (PBEsol) results for an optimized crystal structure of HgSeI2N.

a = 4.0245 Å, b = 5.9054 Å, c = 5.9054 Å
α = 90.00°, β = 90.00°, γ = 90.00°
Closest atoms and distances in Å follow each position.
Element x y z (fractional)
I: 0.0000 0.5000 0.0000  2 Hg 2.95
I: 0.0000 0.0000 0.5000  2 Hg 2.95
Hg: 0.0000 0.0000 0.0000  2 N 2.01
Se: 0.5000 0.5000 0.5000  8 I 3.57
N: 0.5000 0.0000 0.0000  2 Hg 2.01

Values from the calculation:
Formation energy (no corrections) = 1.167 eV/atom
Density of states at the Fermi level = 4.8 states/eV/cell
Uncorrected energy = -2.129 eV per atom
Symmetry = P4/mmm, No. 123



[10]
DFT (PBEsol) results for an optimized crystal structure of HgSe2IN.

a = 3.9404 Å, b = 5.4334 Å, c = 5.4334 Å
α = 90.00°, β = 90.00°, γ = 90.00°
Closest atoms and distances in Å follow each position.
Element x y z (fractional)
Se: 0.0000 0.0000 0.5000  2 I 2.72
Se: 0.0000 0.5000 0.0000  2 I 2.72
I: 0.0000 0.0000 0.0000  2 N 1.97
N: 0.5000 0.0000 0.0000  2 I 1.97
Hg: 0.5000 0.5000 0.5000  8 Se 3.36

Values from the calculation:
Formation energy (no corrections) = 1.130 eV/atom
Distance to the lowest polymorph of the same formula = 0.00 eV per formula unit
Density of states at the Fermi level = 5.1 states/eV/cell
Uncorrected energy = -2.582 eV per atom
Symmetry = P4/mmm, No. 123



[11]
DFT (PBEsol) results for an optimized crystal structure of HgSe2IN.

a = 4.0823 Å, b = 5.3821 Å, c = 5.3821 Å
α = 90.00°, β = 90.00°, γ = 90.00°
Closest atoms and distances in Å follow each position.
Element x y z (fractional)
Se: 0.0000 0.5000 0.0000  2 Hg 2.69
Se: 0.0000 0.0000 0.5000  2 Hg 2.69
I: 0.5000 0.5000 0.5000  8 Se 3.38
N: 0.5000 0.0000 0.0000  2 Hg 2.04
Hg: 0.0000 0.0000 0.0000  2 N 2.04

Values from the calculation:
Formation energy (no corrections) = 1.198 eV/atom
Distance to the lowest polymorph of the same formula = 0.34 eV per formula unit
Density of states at the Fermi level = 3.5 states/eV/cell
Uncorrected energy = -2.514 eV per atom
Symmetry = P4/mmm, No. 123



[12]
DFT (PBEsol) results for an optimized crystal structure of HgSeIN2.

a = 3.9763 Å, b = 3.9763 Å, c = 5.9652 Å
α = 90.00°, β = 90.00°, γ = 90.00°
Closest atoms and distances in Å follow each position.
Element x y z (fractional)
N: 0.0000 0.5000 0.0000  2 I 1.99
N: 0.5000 0.0000 0.0000  2 I 1.99
Hg: 0.5000 0.5000 0.5000  4 Se 2.81
Se: 0.0000 0.0000 0.5000  4 Hg 2.81, 2 I 2.98
I: 0.0000 0.0000 0.0000  4 N 1.99

Values from the calculation:
Formation energy (no corrections) = 1.526 eV/atom
Density of states at the Fermi level = 2.0 states/eV/cell
Uncorrected energy = -3.121 eV per atom
Symmetry = P4/mmm, No. 123



[13]
DFT (PBEsol) results for an optimized crystal structure of HgTe2IN.

a = 4.9819 Å, b = 4.7842 Å, c = 4.7842 Å
α = 90.00°, β = 90.00°, γ = 90.00°
Closest atoms and distances in Å follow each position.
Element x y z (fractional)
Hg: 0.5000 0.5000 0.5000  4 I 3.38, 8 Te 3.45
N: 0.0000 0.0000 0.0000  4 Te 2.39, 2 I 2.49
I: 0.5000 0.0000 0.0000  2 N 2.49
Te: 0.0000 0.0000 0.5000  2 N 2.39
Te: 0.0000 0.5000 0.0000  2 N 2.39

Values from the calculation:
Formation energy (no corrections) = 0.689 eV/atom
Density of states at the Fermi level = 4.1 states/eV/cell
Uncorrected energy = -2.893 eV per atom
Symmetry = P4/mmm, No. 123



[14]
DFT (PBEsol) results for an optimized crystal structure of HgWI2N.

a = 3.9420 Å, b = 5.9499 Å, c = 5.9499 Å
α = 90.00°, β = 90.00°, γ = 90.00°
Closest atoms and distances in Å follow each position.
Element x y z (fractional)
I: 0.0000 0.0000 0.5000  2 Hg 2.97
I: 0.0000 0.5000 0.0000  2 Hg 2.97
Hg: 0.0000 0.0000 0.0000  2 N 1.97
W: 0.5000 0.5000 0.5000  8 I 3.57, 2 W 3.94
N: 0.5000 0.0000 0.0000  2 Hg 1.97

Values from the calculation:
Formation energy (no corrections) = 2.025 eV/atom
Density of states at the Fermi level = 4.4 states/eV/cell
Uncorrected energy = -3.261 eV per atom
Symmetry = P4/mmm, No. 123



[15]
DFT (PBEsol) results for an optimized crystal structure of HgWIN2.

a = 4.1186 Å, b = 4.1186 Å, c = 7.1523 Å
α = 90.00°, β = 90.00°, γ = 90.00°
Closest atoms and distances in Å follow each position.
Element x y z (fractional)
N: 0.0000 0.5000 0.0000  2 Hg 2.06
N: 0.5000 0.0000 0.0000  2 Hg 2.06
W: 0.5000 0.5000 0.5000  4 I 2.91
Hg: 0.0000 0.0000 0.0000  4 N 2.06
I: 0.0000 0.0000 0.5000  4 W 2.91

Values from the calculation:
Formation energy (no corrections) = 2.740 eV/atom
Density of states at the Fermi level = 4.4 states/eV/cell
Uncorrected energy = -3.899 eV per atom
Symmetry = P4/mmm, No. 123



[16]
DFT (PBEsol) results for an optimized crystal structure of ZnHgI2N.

a = 3.7771 Å, b = 5.7464 Å, c = 5.7464 Å
α = 90.00°, β = 90.00°, γ = 90.00°
Closest atoms and distances in Å follow each position.
Element x y z (fractional)
Hg: 0.5000 0.5000 0.5000  8 I 3.44, 2 Hg 3.78
I: 0.0000 0.5000 0.0000  2 Zn 2.87
I: 0.0000 0.0000 0.5000  2 Zn 2.87
N: 0.5000 0.0000 0.0000  2 Zn 1.89
Zn: 0.0000 0.0000 0.0000  2 N 1.89

Values from the calculation:
Formation energy (no corrections) = 0.549 eV/atom
Density of states at the Fermi level = 3.1 states/eV/cell
Uncorrected energy = -2.293 eV per atom
Symmetry = P4/mmm, No. 123



[17]
DFT (PBEsol) results for an optimized crystal structure of NaHg2I2.

a = 6.1037 Å, b = 6.2902 Å, c = 6.1037 Å
α = 60.98°, β = 90.00°, γ = 119.02°
Closest atoms and distances in Å follow each position.
Element x y z (fractional)
I: 0.2500 0.5000 0.2500  4 Hg 3.19
I: 0.7500 0.5000 0.7500  4 Hg 3.19
Hg: 0.6491 0.2981 0.3509  1 Hg 2.73
Hg: 0.3509 0.7019 0.6491  1 Hg 2.73
Na: 0.0000 0.0000 0.0000  2 Hg 3.21

Values from the calculation:
Formation energy (no corrections) = -0.377 eV/atom
Density of states at the Fermi level = 0.8 states/eV/cell
Uncorrected energy = -1.590 eV per atom
Symmetry = I4/mmm, No. 139



[18]
DFT (PBEsol) results for an optimized crystal structure of Na2HgI2.

a = 5.5871 Å, b = 5.5871 Å, c = 7.5449 Å
α = 111.73°, β = 111.73°, γ = 90.00°
Closest atoms and distances in Å follow each position.
Element x y z (fractional)
Na: 0.7500 0.2500 0.5000  4 I 3.05
Na: 0.2500 0.7500 0.5000  4 I 3.05
Hg: 0.0000 0.0000 0.0000  8 Na 4.26, 10 I 4.43
I: 0.6552 0.6552 0.3103  4 Na 3.05
I: 0.3448 0.3448 0.6897  4 Na 3.05

Values from the calculation:
Formation energy (no corrections) = -0.826 eV/atom
Density of states at the Fermi level = 0.0 states/eV/cell
Uncorrected energy = -2.206 eV per atom
Symmetry = I4/mmm, No. 139



[19]
DFT (PBEsol) results for an optimized crystal structure of NiHgSbI2.

a = 5.5197 Å, b = 5.7230 Å, c = 5.7230 Å
α = 90.00°, β = 90.00°, γ = 90.00°
Closest atoms and distances in Å follow each position.
Element x y z (fractional)
I: 0.0000 0.5000 0.0000  2 Hg 2.86
I: 0.0000 0.0000 0.5000  2 Hg 2.86
Ni: 0.5000 0.5000 0.5000  8 I 3.98, 4 Sb 4.05
Hg: 0.0000 0.0000 0.0000  2 Sb 2.76, 4 I 2.86
Sb: 0.5000 0.0000 0.0000  2 Hg 2.76

Values from the calculation:
Formation energy (no corrections) = 1.152 eV/atom
Density of states at the Fermi level = 11.7 states/eV/cell
Uncorrected energy = -1.811 eV per atom
Symmetry = P4/mmm, No. 123



[20]
DFT (PBEsol) results for an optimized crystal structure of HgIO3.

a = 4.1449 Å, b = 4.1449 Å, c = 4.1449 Å
α = 90.00°, β = 90.00°, γ = 90.00°
Closest atoms and distances in Å follow each position.
Element x y z (fractional)
O: 0.5000 0.0000 0.5000  2 I 2.07
O: 0.5000 0.5000 0.0000  2 I 2.07
O: 0.0000 0.5000 0.5000  2 I 2.07
I: 0.5000 0.5000 0.5000  6 O 2.07
Hg: 0.0000 0.0000 0.0000  12 O 2.93

Values from the calculation:
Formation energy (no corrections) = 0.015 eV/atom
Density of states at the Fermi level = 2.3 states/eV/cell
Uncorrected energy = -3.601 eV per atom
Symmetry = Pm-3m, No. 221